CrSb2IF | PBE+U | optimized geometry

abc: 4.7010 4.7010 5.9223
angles: 90.00 90.00 90.00
Sites, in units of the cell vectors:
Sb 0.0000 0.5000 0.0000
Cr 0.5000 0.5000 0.5000
I 0.0000 0.0000 0.5000
Sb 0.5000 0.0000 0.0000
F 0.0000 0.0000 0.0000

energy = -16.57 eV for the cell shown
energy above the most stable polymorph in this dataset = 310 meV per atom
DOS at the Fermi energy = 3.88 states/eV/f.u.
space-group type = P4/mmm (123)
M_tot = 1.689 μB/f.u.